ZrCoTcSn | PBE-GGA | optimized geometry

a b c (Å): 6.414 6.414 6.414
angles (deg): 90.00 90.00 90.00
Space group F-43m (No. 216)
One atom of each set of equivalent atoms:
Zr  0.000  0.000  0.000 [4 per cell]
Co  0.250  0.250  0.750 [4 per cell]
Tc  0.250  0.250  0.250 [4 per cell]
Sn  0.000  0.000  0.500 [4 per cell]

- ΔE to the lowest computed polymorph: 0.0 meV/atom
- Total DFT energy (no corrections): -124.6 eV for the cell shown
- Magnetic moment: 0.0 μB/cell